(1)
DFT (GGA-PBE) results for crystalline Sm12HoSc6 at its relaxed geometry.

Lattice parameters (Å, degrees): 10.582 10.582 10.582 90.00 90.00 90.00
Space group Im-3 (No. 204)
One atom of each set of equivalent atoms:
Sm 0.000 0.198 0.268 [24 per cell]
Ho 0.000 0.000 0.000 [2 per cell]
Sc 0.000 0.362 0.500 [12 per cell]

Output
formation enthalpy at 0 K = 0.2359 eV per atom
crystal system = cubic

(2)
DFT (GGA-PBE) results for crystalline Sm2HoSc at its relaxed geometry.

Lattice parameters (Å, degrees): 3.557 3.557 9.673 90.00 90.00 90.00
Space group P4/mmm (No. 123)
One atom of each set of equivalent atoms:
Sm 0.000 0.000 0.239 [2 per cell]
Ho 0.500 0.500 0.500 [1 per cell]
Sc 0.500 0.500 0.000 [1 per cell]

Output
polymorph energy (0 for the lowest one) = 7 meV per atom
formation enthalpy at 0 K = 0.0404 eV per atom
crystal system = tetragonal

Repeat the first record exactly.
DFT (GGA-PBE) results for crystalline Sm12HoSc6 at its relaxed geometry.

Lattice parameters (Å, degrees): 10.582 10.582 10.582 90.00 90.00 90.00
Space group Im-3 (No. 204)
One atom of each set of equivalent atoms:
Sm 0.000 0.198 0.268 [24 per cell]
Ho 0.000 0.000 0.000 [2 per cell]
Sc 0.000 0.362 0.500 [12 per cell]

Output
formation enthalpy at 0 K = 0.2359 eV per atom
crystal system = cubic